# 1
! Sr2GdH4 | Alexandria | PBE | optimized geometry; values from VASP
&SYSTEM
  ibrav = 0, nat = 7, ntyp = 3
/
ATOMIC_SPECIES
Sr 87.62 Sr.upf
Gd 157.25 Gd.upf
H 1.01 H.upf
CELL_PARAMETERS angstrom
-2.172 2.172 6.749
2.172 -2.172 6.749
2.172 2.172 -6.749
ATOMIC_POSITIONS crystal
Sr 0.149 0.149 0.000
Sr 0.851 0.851 0.000
Gd 0.500 0.500 0.000
H 0.000 0.500 0.500
H 0.332 0.332 0.000
H 0.500 0.000 0.500
H 0.668 0.668 0.000
! Fermi-level density of states   3.8 states/eV per cell
! Total energy   -4.719 eV/atom
! Total magnetic moment   1.026 μB per atom
! Symmetry   No. 139

---

# 2
! NpSb2Pd2 | Alexandria | PBE | optimized geometry; values from VASP
&SYSTEM
  ibrav = 0, nat = 10, ntyp = 3
/
ATOMIC_SPECIES
Np 237.00 Np.upf
Sb 121.76 Sb.upf
Pd 106.42 Pd.upf
CELL_PARAMETERS angstrom
4.765 0.000 0.000
0.000 4.638 0.000
-0.067 0.000 10.180
ATOMIC_POSITIONS crystal
Np 0.239 0.250 0.243
Np 0.761 0.750 0.757
Sb 0.255 0.750 0.496
Sb 0.309 0.250 0.875
Sb 0.691 0.750 0.125
Sb 0.745 0.250 0.504
Pd 0.187 0.750 0.997
Pd 0.243 0.250 0.624
Pd 0.757 0.750 0.376
Pd 0.813 0.250 0.003
! Fermi-level density of states   18.1 states/eV per cell
! Total magnetic moment   0.834 μB per atom
! Symmetry   No. 11
! ΔE_f (raw)   -37 kJ/mol of atoms

---

Q: The highest Fermi-level density of states belongs to which entry?
A: NpSb2Pd2